# 1
! HgPb, single point on PBEsol structure, DFT SCAN; values from VASP
! total DFT energy (no corrections): -71.936 eV per atom
! energy relative to the elements: 0.04 eV per atom
! total magnetic moment: 0.00 μB per cell
&SYSTEM
  ibrav = 0, nat = 4, ntyp = 2
/
ATOMIC_SPECIES
Hg 200.59 Hg.upf
Pb 207.20 Pb.upf
ATOMIC_POSITIONS crystal
Hg 0.250 0.250 0.082
Hg 0.750 0.750 0.918
Pb 0.250 0.750 0.406
Pb 0.750 0.250 0.594
CELL_PARAMETERS angstrom
3.340 0.000 0.000
0.000 5.538 0.000
0.000 0.000 5.737


# 2
! Hg3Pb, single point on PBEsol structure, DFT SCAN; values from VASP
! total DFT energy (no corrections): -70.020 eV per atom
! energy relative to the elements: 0.05 eV per atom
! total magnetic moment: 0.00 μB per cell
&SYSTEM
  ibrav = 0, nat = 8, ntyp = 2
/
ATOMIC_SPECIES
Hg 200.59 Hg.upf
Pb 207.20 Pb.upf
ATOMIC_POSITIONS crystal
Hg 0.000 0.000 0.000
Hg 0.000 0.500 0.233
Hg 0.000 0.500 0.767
Hg 0.500 0.000 0.233
Hg 0.500 0.000 0.767
Hg 0.500 0.500 0.000
Pb 0.000 0.000 0.500
Pb 0.500 0.500 0.500
CELL_PARAMETERS angstrom
4.832 0.000 0.000
0.000 5.150 0.000
0.000 0.000 7.925


# 3
! Hg2Pb, single point on PBEsol structure, DFT SCAN; values from VASP
! total DFT energy (no corrections): -70.640 eV per atom
! energy relative to the elements: 0.06 eV per atom
! energy above the lowest structure with this stoichiometry: 0.021 eV per atom
! total magnetic moment: 0.00 μB per cell
&SYSTEM
  ibrav = 0, nat = 12, ntyp = 2
/
ATOMIC_SPECIES
Hg 200.59 Hg.upf
Pb 207.20 Pb.upf
ATOMIC_POSITIONS crystal
Hg 0.000 0.250 0.292
Hg 0.000 0.250 0.458
Hg 0.000 0.750 0.542
Hg 0.000 0.750 0.708
Hg 0.500 0.250 0.042
Hg 0.500 0.250 0.208
Hg 0.500 0.750 0.792
Hg 0.500 0.750 0.958
Pb 0.000 0.250 0.875
Pb 0.000 0.750 0.125
Pb 0.500 0.250 0.625
Pb 0.500 0.750 0.375
CELL_PARAMETERS angstrom
3.282 0.000 0.000
0.000 3.282 0.000
0.000 0.000 28.787


# 4
! HgPb3, single point on PBEsol structure, DFT SCAN; values from VASP
! total DFT energy (no corrections): -73.861 eV per atom
! energy relative to the elements: 0.02 eV per atom
! total magnetic moment: 0.00 μB per cell
&SYSTEM
  ibrav = 0, nat = 4, ntyp = 2
/
ATOMIC_SPECIES
Hg 200.59 Hg.upf
Pb 207.20 Pb.upf
ATOMIC_POSITIONS crystal
Hg 0.000 0.000 0.000
Pb 0.000 0.000 0.500
Pb 0.500 0.500 0.238
Pb 0.500 0.500 0.762
CELL_PARAMETERS angstrom
3.522 0.000 0.000
0.000 4.600 0.000
0.000 0.000 6.873


> What is the energy relative to the elements in the first record?

0.04 eV per atom


What did the second record say?
! Hg3Pb, single point on PBEsol structure, DFT SCAN; values from VASP
! total DFT energy (no corrections): -70.020 eV per atom
! energy relative to the elements: 0.05 eV per atom
! total magnetic moment: 0.00 μB per cell
&SYSTEM
  ibrav = 0, nat = 8, ntyp = 2
/
ATOMIC_SPECIES
Hg 200.59 Hg.upf
Pb 207.20 Pb.upf
ATOMIC_POSITIONS crystal
Hg 0.000 0.000 0.000
Hg 0.000 0.500 0.233
Hg 0.000 0.500 0.767
Hg 0.500 0.000 0.233
Hg 0.500 0.000 0.767
Hg 0.500 0.500 0.000
Pb 0.000 0.000 0.500
Pb 0.500 0.500 0.500
CELL_PARAMETERS angstrom
4.832 0.000 0.000
0.000 5.150 0.000
0.000 0.000 7.925